First-principles (GGA-PBE) data for Sm4TmMg after structural relaxation, as listed in Alexandria via LeMat-Bulk.

Unit cell a=5.629 b=6.367 c=6.367 alpha=89.72 beta=90.00 gamma=90.00
Sites, in units of the cell vectors:
Sm (0.000, 0.177, 0.177)
Sm (0.000, 0.823, 0.823)
Sm (0.500, 0.672, 0.328)
Sm (0.500, 0.328, 0.672)
Mg (0.000, 0.500, 0.500)
Tm (0.500, 0.000, 0.000)

Summary:
**D(E_F)**: 8.44 states/eV per cell
**Energy of formation**: 710.5 meV per atom
**M_tot**: 0.00 μB per formula unit
**VASP energy**: -3.4466 eV/atom
**Excess energy over the best structure of this formula in the dataset**: 0.7279 eV per atom